Below is an optimized crystal structure of KTa2Zn, with properties calculated at the PBE-GGA level.

Computed properties:
As for the symmetry: Cm, No. 8. The density of states at the Fermi level is 2.9 states/eV/cell. The formation energy is 297 kJ/mol of formula units. Its calculated volume is 25.727 A^3/atom.

The structure in POSCAR format:
```
KTa2Zn
1.0
5.170 0.008 0.038
4.366 2.769 0.038
0.890 0.259 7.214
Ta Zn K
2 1 1
Cartesian
8.019 2.335 5.785
1.070 0.311 6.256
4.946 1.440 4.136
2.495 0.726 1.971
```